Entry 1:
This record from Alexandria describes a geometry-optimized LaReTe2 structure. The functional is PBEsol.

Output
Excess energy over the best structure of this formula in the dataset, eV per atom: 0.0000
SG: No. 99

a b c (Å): 3.349 3.349 9.072
angles (deg): 90.00 90.00 90.00
Positions (direct):
La 0.000 0.000 0.538
Re 0.500 0.500 0.772
Te 0.000 0.000 0.918
Te 0.500 0.500 0.271



Entry 2:
This record from Alexandria describes a geometry-optimized LaRe3Te structure. The functional is PBEsol.

Output
SG: No. 221

a b c (Å): 4.814 4.814 4.814
angles (deg): 90.00 90.00 90.00
Positions (direct):
Re 0.000 0.500 0.000
Re 0.000 0.000 0.500
Re 0.500 0.000 0.000
Te 0.500 0.500 0.500
La 0.000 0.000 0.000



Entry 3:
This record from Alexandria describes a geometry-optimized LaTl2Re structure. The functional is PBEsol.

Output
Energy of formation from the pure elements, eV/f.u.: 1.7
Excess energy over the best structure of this formula in the dataset, eV per atom: 0.0000
SG: No. 139

a b c (Å): 4.654 4.654 5.308
angles (deg): 116.00 116.00 90.00
Positions (direct):
La 0.500 0.500 0.000
Re 0.000 0.000 0.000
Tl 0.750 0.250 0.500
Tl 0.250 0.750 0.500



Entry 4:
This record from Alexandria describes a geometry-optimized LaTl2Re structure. The functional is PBEsol.

Output
Energy of formation from the pure elements, eV/f.u.: 2.1
Excess energy over the best structure of this formula in the dataset, eV per atom: 0.1192
SG: No. 123

a b c (Å): 4.359 4.359 4.901
angles (deg): 90.00 90.00 90.00
Positions (direct):
La 0.500 0.500 0.500
Re 0.000 0.000 0.500
Tl 0.000 0.500 0.000
Tl 0.500 0.000 0.000



Entry 5:
This record from Alexandria describes a geometry-optimized La2TlRe structure. The functional is PBEsol.

Output
Energy of formation from the pure elements, eV/f.u.: 0.2
SG: No. 10

a b c (Å): 3.409 3.408 8.984
angles (deg): 91.28 90.00 90.00
Positions (direct):
La 0.000 0.979 0.700
La 0.000 0.021 0.300
Re 0.500 0.500 0.500
Tl 0.500 0.500 0.000



Entry 6:
This record from Alexandria describes a geometry-optimized LaTl2Re structure. The functional is PBEsol.

Output
Energy of formation from the pure elements, eV/f.u.: 1.7
Excess energy over the best structure of this formula in the dataset, eV per atom: 0.0138
SG: No. 99

a b c (Å): 3.486 3.486 7.932
angles (deg): 90.00 90.00 90.00
Positions (direct):
La 0.000 0.000 0.549
Re 0.500 0.500 0.771
Tl 0.000 0.000 0.958
Tl 0.500 0.500 0.222



Entry 7:
This record from Alexandria describes a geometry-optimized La2YRe structure. The functional is PBEsol.

Output
Energy of formation from the pure elements, eV/f.u.: 0.9
Excess energy over the best structure of this formula in the dataset, eV per atom: 0.0000
SG: No. 99

a b c (Å): 3.477 3.477 8.614
angles (deg): 90.00 90.00 90.00
Positions (direct):
La 0.000 0.000 0.031
La 0.500 0.500 0.296
Re 0.000 0.000 0.490
Y 0.500 0.500 0.683



Entry 8:
This record from Alexandria describes a geometry-optimized La2YRe structure. The functional is PBEsol.

Output
Energy of formation from the pure elements, eV/f.u.: 2.2
Excess energy over the best structure of this formula in the dataset, eV per atom: 0.3141
SG: No. 12

a b c (Å): 3.270 5.559 6.218
angles (deg): 115.80 104.07 92.55
Positions (direct):
La 0.000 0.000 0.500
La 0.500 0.500 0.500
Re 0.500 0.000 0.000
Y 0.000 0.500 0.000



Entry 9:
This record from Alexandria describes a geometry-optimized La2YRe structure. The functional is PBEsol.

Output
Energy of formation from the pure elements, eV/f.u.: 1.8
Excess energy over the best structure of this formula in the dataset, eV per atom: 0.2144
SG: No. 123

a b c (Å): 4.613 4.613 4.674
angles (deg): 90.00 90.00 90.00
Positions (direct):
La 0.000 0.500 0.000
La 0.500 0.000 0.000
Re 0.500 0.500 0.500
Y 0.000 0.000 0.500



Entry 10:
This record from Alexandria describes a geometry-optimized La2Zn2Re structure. The functional is PBEsol.

Output
Energy of formation from the pure elements, eV/f.u.: 0.9
SG: No. 139

a b c (Å): 3.487 3.487 9.708
angles (deg): 100.35 100.35 90.00
Positions (direct):
Re 0.000 0.000 0.000
Zn 0.250 0.750 0.500
Zn 0.750 0.250 0.500
La 0.408 0.408 0.815
La 0.592 0.592 0.185



Entry 11:
This record from Alexandria describes a geometry-optimized La3ZnRe structure. The functional is PBEsol.

Output
Energy of formation from the pure elements, eV/f.u.: 6.1
SG: No. 221

a b c (Å): 5.396 5.396 5.396
angles (deg): 90.00 90.00 90.00
Positions (direct):
Re 0.500 0.500 0.500
Zn 0.000 0.000 0.000
La 0.000 0.500 0.000
La 0.000 0.000 0.500
La 0.500 0.000 0.000



Entry 12:
This record from Alexandria describes a geometry-optimized LaZn3Re structure. The functional is PBEsol.

Output
Energy of formation from the pure elements, eV/f.u.: 11.3
SG: No. 221

a b c (Å): 5.269 5.269 5.269
angles (deg): 90.00 90.00 90.00
Positions (direct):
Re 0.500 0.500 0.500
Zn 0.000 0.500 0.000
Zn 0.000 0.000 0.500
Zn 0.500 0.000 0.000
La 0.000 0.000 0.000



Result set for E_tot: -6.60 -6.75 -5.57 -5.45 -6.60 -5.56 -7.48 -7.17 -7.27 -5.26 -4.97 -2.42 eV per atom, one per record in the order listed.